# 1
DFT (PBE) results for crystalline NbCuTe2 at its relaxed geometry. Values from VASP.

Quantum ESPRESSO input file:
```
&SYSTEM
  ibrav = 0, nat = 4, ntyp = 3
/
ATOMIC_SPECIES
Nb 92.91 Nb.upf
Cu 63.55 Cu.upf
Te 127.60 Te.upf
CELL_PARAMETERS angstrom
0.000 3.477 3.477
3.477 0.000 3.477
3.477 3.477 0.000
ATOMIC_POSITIONS crystal
Nb 0.000 0.000 0.000
Cu 0.500 0.500 0.500
Te 0.250 0.250 0.250
Te 0.750 0.750 0.750
```

Properties
The crystal system is cubic. The value obtained for the total energy is -4.896 eV per atom. Its symmetry is Fm-3m (225). The uncorrected formation energy comes out at 0.2164 eV per atom. For the density of states at the Fermi level, the calculation gives 2.46 states/eV/f.u.


# 2
DFT (PBE) results for crystalline MgMnCd2 at its relaxed geometry. Values from VASP.

Quantum ESPRESSO input file:
```
&SYSTEM
  ibrav = 0, nat = 4, ntyp = 3
/
ATOMIC_SPECIES
Mg 24.30 Mg.upf
Mn 54.94 Mn.upf
Cd 112.41 Cd.upf
CELL_PARAMETERS angstrom
0.000 3.379 3.379
3.379 0.000 3.379
3.379 3.379 0.000
ATOMIC_POSITIONS crystal
Mg 0.000 0.000 0.000
Mn 0.750 0.750 0.750
Cd 0.250 0.250 0.250
Cd 0.500 0.500 0.500
```

Properties
The crystal system is cubic. The value obtained for the total energy is -2.996 eV per atom. Its symmetry is F-43m (216). For the density of states at the Fermi level, the calculation gives 2.43 states/eV/f.u.


# 3
DFT (PBE) results for crystalline La2PaTaN4 at its relaxed geometry. Values from VASP.

Quantum ESPRESSO input file:
```
&SYSTEM
  ibrav = 0, nat = 8, ntyp = 4
/
ATOMIC_SPECIES
La 138.91 La.upf
Pa 231.04 Pa.upf
Ta 180.95 Ta.upf
N 14.01 N.upf
CELL_PARAMETERS angstrom
5.949 0.000 0.000
0.000 3.426 0.000
-1.911 0.000 5.891
ATOMIC_POSITIONS crystal
La 0.000 0.000 0.000
La 0.500 0.500 0.000
Pa 0.000 0.500 0.500
Ta 0.500 0.000 0.500
N 0.254 0.000 0.697
N 0.284 0.500 0.307
N 0.716 0.500 0.693
N 0.746 0.000 0.303
```

Properties
The crystal system is monoclinic. The value obtained for the total energy is -9.460 eV per atom. Its symmetry is P2/m (10). The uncorrected formation energy comes out at -1.3965 eV per atom. For the density of states at the Fermi level, the calculation gives 3.18 states/eV/f.u.


Which of these has the lowest total energy? La2PaTaN4


total energy of number 1 (NbCuTe2)? -4.896 eV per atom


Look up the total energy of the third one. -9.460 eV per atom